(1)
Computed, not measured: crystalline TaTlW2 at its relaxed geometry at the PBE level of DFT.

Cell lengths 2.9215, 2.9215, 30.0138 Å; angles 90.00, 90.00, 120.00 degrees
Space group R-3m (No. 166, hexagonal axes)
Symmetry-distinct sites (fractional):
Ta: 0.0000 0.0000 0.0000 x3
Tl: 0.0000 0.0000 0.5000 x3
W: 0.0000 0.0000 0.2520 x6

Summary:
Total magnetic moment (Bohr magnetons per cell): 0.0
Electronic total energy (eV for the cell shown): -111.298
Energy of formation from the pure elements (meV/atom): 756
Crystal system: trigonal



(2)
Computed, not measured: crystalline TaTlW2 at its relaxed geometry at the PBE level of DFT.

Cell lengths 4.048, 4.048, 8.775 Å; angles 90.00, 90.00, 90.00 degrees
Space group I4/mmm (No. 139)
Symmetry-distinct sites (fractional):
Ta: 0.000 0.000 0.000 x2
Tl: 0.000 0.000 0.500 x2
W: 0.000 0.500 0.250 x4

Summary:
Total magnetic moment (Bohr magnetons per cell): 0.0
Electronic total energy (eV for the cell shown): -74.734
Energy of formation from the pure elements (meV/atom): 690
Crystal system: tetragonal



(3)
Computed, not measured: crystalline Ta2TlW at its relaxed geometry at the PBE level of DFT.

Cell lengths 3.437, 3.437, 6.353 Å; angles 90.00, 90.00, 90.00 degrees
Space group P4mm (No. 99)
Symmetry-distinct sites (fractional):
Ta: 0.000 0.000 0.000 x1
Ta: 0.500 0.500 0.230 x1
Tl: 0.000 0.000 0.509 x1
W: 0.500 0.500 0.782 x1

Summary:
Total magnetic moment (Bohr magnetons per cell): 0.0
Electronic total energy (eV for the cell shown): -37.468
Energy of formation from the pure elements (meV/atom): 389
Crystal system: tetragonal



(4)
Computed, not measured: crystalline TaTlW2 at its relaxed geometry at the PBE level of DFT.

Cell lengths 6.608, 6.608, 6.608 Å; angles 90.00, 90.00, 90.00 degrees
Space group Fm-3m (No. 225)
Symmetry-distinct sites (fractional):
Ta: 0.000 0.000 0.000 x4
Tl: 0.000 0.000 0.500 x4
W: 0.250 0.250 0.250 x8

Summary:
Total magnetic moment (Bohr magnetons per cell): 0.0
Electronic total energy (eV for the cell shown): -147.885
Energy of formation from the pure elements (meV/atom): 789
Crystal system: cubic



(5)
Computed, not measured: crystalline TaTlW2 at its relaxed geometry at the PBE level of DFT.

Cell lengths 3.249, 4.847, 9.351 Å; angles 90.00, 90.00, 90.00 degrees
Space group Cmmm (No. 65)
Symmetry-distinct sites (fractional):
Ta: 0.000 0.000 0.000 x2
Tl: 0.000 0.000 0.500 x2
W: 0.000 0.500 0.233 x4

Summary:
Total magnetic moment (Bohr magnetons per cell): 0.0
Electronic total energy (eV for the cell shown): -76.354
Energy of formation from the pure elements (meV/atom): 487
Crystal system: orthorhombic



(6)
Computed, not measured: crystalline Ta2Tl2W at its relaxed geometry at the PBE level of DFT.

Cell lengths 7.277, 7.277, 3.739 Å; angles 90.00, 90.00, 90.00 degrees
Space group P4/mbm (No. 127)
Symmetry-distinct sites (fractional):
Ta: 0.166 0.334 0.000 x4
Tl: 0.138 0.638 0.500 x4
W: 0.000 0.000 0.500 x2

Summary:
Total magnetic moment (Bohr magnetons per cell): 0.0
Electronic total energy (eV for the cell shown): -72.864
Energy of formation from the pure elements (meV/atom): 992
Crystal system: tetragonal



(7)
Computed, not measured: crystalline TaTlW2 at its relaxed geometry at the PBE level of DFT.

Cell lengths 4.134, 4.134, 8.380 Å; angles 90.00, 90.00, 90.00 degrees
Space group I-4m2 (No. 119)
Symmetry-distinct sites (fractional):
Ta: 0.000 0.000 0.000 x2
Tl: 0.000 0.500 0.750 x2
W: 0.000 0.000 0.500 x2
W: 0.000 0.500 0.250 x2

Summary:
Total magnetic moment (Bohr magnetons per cell): 0.0
Electronic total energy (eV for the cell shown): -74.969
Energy of formation from the pure elements (meV/atom): 660
Crystal system: tetragonal



(8)
Computed, not measured: crystalline Ta4TlW at its relaxed geometry at the PBE level of DFT.

Cell lengths 7.723, 7.723, 7.723 Å; angles 90.00, 90.00, 90.00 degrees
Space group F-43m (No. 216)
Symmetry-distinct sites (fractional):
Ta: 0.124 0.124 0.376 x16
Tl: 0.000 0.000 0.000 x4
W: 0.250 0.250 0.750 x4

Summary:
Total magnetic moment (Bohr magnetons per cell): 0.0
Electronic total energy (eV for the cell shown): -236.387
Energy of formation from the pure elements (meV/atom): 606
Crystal system: cubic



(9)
Computed, not measured: crystalline TaTlW2 at its relaxed geometry at the PBE level of DFT.

Cell lengths 7.612, 7.612, 5.575 Å; angles 90.00, 90.00, 90.00 degrees
Space group I-42d (No. 122)
Symmetry-distinct sites (fractional):
Ta: 0.000 0.000 0.000 x4
Tl: 0.000 0.000 0.500 x4
W: 0.220 0.250 0.125 x8

Summary:
Total magnetic moment (Bohr magnetons per cell): 0.0
Electronic total energy (eV for the cell shown): -138.979
Energy of formation from the pure elements (meV/atom): 1345
Crystal system: tetragonal



(10)
Computed, not measured: crystalline TaTlW2 at its relaxed geometry at the PBE level of DFT.

Cell lengths 3.366, 4.626, 9.263 Å; angles 90.00, 90.00, 90.00 degrees
Space group Immm (No. 71)
Symmetry-distinct sites (fractional):
Ta: 0.000 0.000 0.000 x2
Tl: 0.000 0.000 0.500 x2
W: 0.000 0.500 0.264 x4

Summary:
Total magnetic moment (Bohr magnetons per cell): 0.0
Electronic total energy (eV for the cell shown): -75.765
Energy of formation from the pure elements (meV/atom): 561
Crystal system: orthorhombic



(11)
Computed, not measured: crystalline TaTlW2 at its relaxed geometry at the PBE level of DFT.

Cell lengths 5.732, 9.432, 2.853 Å; angles 90.00, 111.06, 90.00 degrees
Space group C2/m (No. 12)
Symmetry-distinct sites (fractional):
Ta: 0.000 0.000 0.000 x2
Tl: 0.000 0.500 0.000 x2
W: 0.250 0.250 0.500 x4

Summary:
Total magnetic moment (Bohr magnetons per cell): 0.0
Electronic total energy (eV for the cell shown): -75.354
Energy of formation from the pure elements (meV/atom): 612
Crystal system: monoclinic



(12)
Computed, not measured: crystalline Ta2TlW at its relaxed geometry at the PBE level of DFT.

Cell lengths 4.322, 4.322, 7.929 Å; angles 90.00, 90.00, 90.00 degrees
Space group I4/mmm (No. 139)
Symmetry-distinct sites (fractional):
Ta: 0.000 0.500 0.250 x4
Tl: 0.000 0.000 0.000 x2
W: 0.000 0.000 0.500 x2

Summary:
Total magnetic moment (Bohr magnetons per cell): 0.0
Electronic total energy (eV for the cell shown): -74.248
Energy of formation from the pure elements (meV/atom): 475
Crystal system: tetragonal



(13)
Computed, not measured: crystalline Y2TaTl at its relaxed geometry at the PBE level of DFT.

Cell lengths 3.242, 5.361, 5.772 Å; angles 90.00, 90.00, 90.00 degrees
Space group Pmm2 (No. 25)
Symmetry-distinct sites (fractional):
Y: 0.000 0.000 0.000 x1
Y: 0.000 0.500 0.364 x1
Ta: 0.500 0.500 0.848 x1
Tl: 0.500 0.000 0.526 x1

Summary:
Total magnetic moment (Bohr magnetons per cell): 0.0
Electronic total energy (eV for the cell shown): -26.528
Energy of formation from the pure elements (meV/atom): 155
Crystal system: orthorhombic



(14)
Computed, not measured: crystalline YTa2Tl at its relaxed geometry at the PBE level of DFT.

Cell lengths 3.1528, 3.1528, 30.9268 Å; angles 90.00, 90.00, 120.00 degrees
Space group R-3m (No. 166, hexagonal axes)
Symmetry-distinct sites (fractional):
Y: 0.0000 0.0000 0.0000 x3
Ta: 0.0000 0.0000 0.2470 x6
Tl: 0.0000 0.0000 0.5000 x3

Summary:
Total magnetic moment (Bohr magnetons per cell): 0.0
Electronic total energy (eV for the cell shown): -90.883
Energy of formation from the pure elements (meV/atom): 560
Crystal system: trigonal



(15)
Computed, not measured: crystalline Y2TaTl2 at its relaxed geometry at the PBE level of DFT.

Cell lengths 7.703, 7.703, 4.393 Å; angles 90.00, 90.00, 90.00 degrees
Space group P4/mbm (No. 127)
Symmetry-distinct sites (fractional):
Y: 0.174 0.326 0.000 x4
Ta: 0.000 0.000 0.500 x2
Tl: 0.136 0.636 0.500 x4

Summary:
Total magnetic moment (Bohr magnetons per cell): 2.6
Electronic total energy (eV for the cell shown): -57.739
Energy of formation from the pure elements (meV/atom): 129
Crystal system: tetragonal



(16)
Computed, not measured: crystalline Y2TaTl at its relaxed geometry at the PBE level of DFT.

Cell lengths 3.260, 3.260, 9.541 Å; angles 90.00, 90.00, 90.00 degrees
Space group P4/mmm (No. 123)
Symmetry-distinct sites (fractional):
Y: 0.000 0.000 0.235 x2
Ta: 0.500 0.500 0.000 x1
Tl: 0.500 0.500 0.500 x1

Summary:
Total magnetic moment (Bohr magnetons per cell): 0.0
Electronic total energy (eV for the cell shown): -26.884
Energy of formation from the pure elements (meV/atom): 66
Crystal system: tetragonal



(17)
Computed, not measured: crystalline YTa2Tl at its relaxed geometry at the PBE level of DFT.

Cell lengths 7.014, 7.014, 7.014 Å; angles 90.00, 90.00, 90.00 degrees
Space group F-43m (No. 216)
Symmetry-distinct sites (fractional):
Y: 0.000 0.000 0.000 x4
Ta: 0.000 0.000 0.500 x4
Ta: 0.250 0.250 0.750 x4
Tl: 0.250 0.250 0.250 x4

Summary:
Total magnetic moment (Bohr magnetons per cell): 0.0
Electronic total energy (eV for the cell shown): -123.870
Energy of formation from the pure elements (meV/atom): 392
Crystal system: cubic



(18)
Computed, not measured: crystalline YTa2Tl at its relaxed geometry at the PBE level of DFT.

Cell lengths 3.541, 3.541, 7.223 Å; angles 90.00, 90.00, 90.00 degrees
Space group P4mm (No. 99)
Symmetry-distinct sites (fractional):
Y: 0.000 0.000 0.000 x1
Ta: 0.000 0.000 0.449 x1
Ta: 0.500 0.500 0.277 x1
Tl: 0.500 0.500 0.706 x1

Summary:
Total magnetic moment (Bohr magnetons per cell): 0.0
Electronic total energy (eV for the cell shown): -31.947
Energy of formation from the pure elements (meV/atom): 147
Crystal system: tetragonal



(19)
Computed, not measured: crystalline YTa2Tl at its relaxed geometry at the PBE level of DFT.

Cell lengths 4.249, 4.249, 9.747 Å; angles 90.00, 90.00, 90.00 degrees
Space group I4/mmm (No. 139)
Symmetry-distinct sites (fractional):
Y: 0.000 0.000 0.000 x2
Ta: 0.000 0.500 0.250 x4
Tl: 0.000 0.000 0.500 x2

Summary:
Total magnetic moment (Bohr magnetons per cell): 0.0
Electronic total energy (eV for the cell shown): -62.100
Energy of formation from the pure elements (meV/atom): 371
Crystal system: tetragonal



(20)
Computed, not measured: crystalline Y3TaTl at its relaxed geometry at the PBE level of DFT.

Cell lengths 5.493, 5.493, 5.493 Å; angles 90.00, 90.00, 90.00 degrees
Space group Pm-3m (No. 221)
Symmetry-distinct sites (fractional):
Y: 0.000 0.000 0.500 x3
Ta: 0.000 0.000 0.000 x1
Tl: 0.500 0.500 0.500 x1

Summary:
Total magnetic moment (Bohr magnetons per cell): 0.0
Electronic total energy (eV for the cell shown): -30.746
Energy of formation from the pure elements (meV/atom): 573
Crystal system: cubic